A plane-wave DFT calculation with PBE was carried out for a geometry-optimized PmSm3Mg8 structure.

Cell and atoms, written as extended XYZ:
```
12
Lattice="3.055 1.764 9.926 -3.055 1.764 9.926 0.000 -3.527 9.926" Properties=species:S:1:pos:R:3 pbc="T T T"
Pm 0.000 0.000 0.000
Sm 0.000 0.000 11.178
Sm 0.000 0.000 14.892
Sm 0.000 0.000 26.062
Mg 0.000 0.000 5.590
Mg 0.000 -1.763 17.992
Mg -1.527 0.882 17.992
Mg -1.527 -0.882 22.961
Mg 0.000 0.000 20.479
Mg 1.527 0.882 17.992
Mg 1.527 -0.882 22.962
Mg 0.000 1.763 22.962
```

Computed properties:
- Fermi-level density of states: 0.9772 states/eV per atom
- VASP energy: -2.73 eV/atom
- Calculated volume: 320.90 Å³/cell
- Energy of formation: -0.09 eV/atom


A plane-wave DFT calculation with PBE was carried out for a geometry-optimized Pm2Sm9Mg structure.

Cell and atoms, written as extended XYZ:
```
12
Lattice="5.085 0.000 0.000 0.000 5.085 0.000 0.000 0.000 15.343" Properties=species:S:1:pos:R:3 pbc="T T T"
Pm 0.000 0.000 2.604
Pm 0.000 0.000 12.738
Sm 0.000 2.543 0.000
Sm 0.000 2.543 5.168
Sm 0.000 2.543 10.175
Sm 2.543 0.000 0.000
Sm 2.543 0.000 5.168
Sm 2.543 0.000 10.175
Sm 2.543 2.543 2.618
Sm 2.543 2.543 7.671
Sm 2.543 2.543 12.725
Mg 0.000 0.000 7.671
```

Computed properties:
- Fermi-level density of states: 1.5163 states/eV per atom
- VASP energy: -4.45 eV/atom
- Calculated volume: 396.73 Å³/cell
- Energy of formation: 0.02 eV/atom


A plane-wave DFT calculation with PBE was carried out for a geometry-optimized Pm4Sm6Mg structure.

Cell and atoms, written as extended XYZ:
```
11
Lattice="-3.302 3.302 8.600 3.302 -3.302 8.600 3.302 3.302 -8.600" Properties=species:S:1:pos:R:3 pbc="T T T"
Pm 2.089 2.089 -3.028
Pm 1.213 -1.213 11.628
Pm 1.213 1.213 5.572
Pm -1.213 1.213 11.628
Sm 3.302 0.000 0.000
Sm 2.173 -2.173 6.432
Sm 1.129 1.129 2.168
Sm 0.000 3.302 0.000
Sm -2.173 2.173 6.432
Sm 2.173 2.173 10.768
Mg 0.000 0.000 8.600
```

Computed properties:
- Fermi-level density of states: 1.3748 states/eV per atom
- VASP energy: -4.18 eV/atom
- Calculated volume: 375.06 Å³/cell
- Energy of formation: 0.26 eV/atom


A plane-wave DFT calculation with PBE was carried out for a geometry-optimized Pm12Sm6Mg structure.

Cell and atoms, written as extended XYZ:
```
19
Lattice="6.603 3.812 4.382 -6.603 3.812 4.382 0.000 -7.625 4.382" Properties=species:S:1:pos:R:3 pbc="T T T"
Pm -4.872 0.821 4.384
Pm -2.715 -1.569 5.844
Pm 1.724 -4.630 4.384
Pm -3.147 -3.808 8.762
Pm -2.716 1.566 7.302
Pm 0.002 -3.136 7.302
Pm -0.002 3.136 5.844
Pm 2.716 -1.566 5.844
Pm 3.147 3.808 4.384
Pm -1.724 4.630 8.762
Pm 2.715 1.569 7.302
Pm 4.872 -0.821 8.762
Sm -0.005 -2.070 2.965
Sm -1.790 1.039 2.965
Sm 1.795 1.030 2.965
Sm -1.795 -1.030 10.181
Sm 1.790 -1.039 10.181
Sm 0.005 2.070 10.181
Mg 0.000 0.000 0.000
```

Computed properties:
- Fermi-level density of states: 1.5414 states/eV per atom
- VASP energy: -4.45 eV/atom
- Calculated volume: 661.89 Å³/cell
- Energy of formation: 0.13 eV/atom


A plane-wave DFT calculation with PBE was carried out for a geometry-optimized Pm6Sm3Mg structure.

Cell and atoms, written as extended XYZ:
```
20
Lattice="3.556 0.000 0.000 -0.066 6.480 0.000 -1.599 -0.280 29.118" Properties=species:S:1:pos:R:3 pbc="T T T"
Pm -0.073 1.687 3.006
Pm -0.102 3.770 5.800
Pm -0.258 1.528 11.791
Pm -0.088 5.849 8.792
Pm 0.010 1.470 17.392
Pm 0.194 1.257 26.391
Pm 1.697 4.942 2.727
Pm 1.881 4.730 11.726
Pm 1.979 0.350 20.326
Pm 2.149 4.671 17.326
Pm 1.992 2.429 23.318
Pm 1.964 4.513 26.112
Sm -0.033 3.240 0.000
Sm 0.269 3.547 20.317
Sm 0.161 5.668 23.262
Sm 0.979 -0.140 14.559
Sm 1.729 0.531 5.856
Sm 1.622 2.652 8.801
Mg 0.000 0.000 0.000
Mg 0.945 3.100 14.559
```

Computed properties:
- Fermi-level density of states: 1.4177 states/eV per atom
- VASP energy: -4.36 eV/atom
- Calculated volume: 670.96 Å³/cell
- Energy of formation: 0.07 eV/atom


A plane-wave DFT calculation with PBE was carried out for a geometry-optimized Pm8SmMg6 structure.

Cell and atoms, written as extended XYZ:
```
15
Lattice="4.633 2.675 6.601 -4.633 2.675 6.601 0.000 -5.350 6.601" Properties=species:S:1:pos:R:3 pbc="T T T"
Pm -1.543 -2.672 7.558
Pm 0.000 0.000 3.300
Pm -3.086 0.000 12.246
Pm -1.543 2.672 7.558
Pm 1.543 -2.672 12.246
Pm 3.086 0.000 7.558
Pm 0.000 0.000 16.504
Pm 1.543 2.672 12.246
Sm 0.000 0.000 9.902
Mg -3.086 0.000 8.980
Mg -1.543 -2.673 10.825
Mg 1.543 -2.672 8.980
Mg -1.543 2.672 10.825
Mg 1.543 2.673 8.980
Mg 3.086 0.000 10.825
```

Computed properties:
- Fermi-level density of states: 1.6349 states/eV per atom
- VASP energy: -3.33 eV/atom
- Calculated volume: 490.86 Å³/cell
- Energy of formation: 0.16 eV/atom


A plane-wave DFT calculation with PBE was carried out for a geometry-optimized PmSmMg3 structure.

Cell and atoms, written as extended XYZ:
```
10
Lattice="3.120 1.801 8.445 -3.120 1.801 8.445 0.000 -3.603 8.445" Properties=species:S:1:pos:R:3 pbc="T T T"
Pm 0.000 0.000 1.705
Pm 0.000 0.000 23.631
Sm 0.000 0.000 8.467
Sm 0.000 0.000 16.869
Mg -1.594 -0.921 11.475
Mg 0.000 -1.841 13.861
Mg -1.594 0.921 13.861
Mg 1.594 -0.921 11.475
Mg 0.000 1.841 11.475
Mg 1.594 0.921 13.861
```

Computed properties:
- Fermi-level density of states: 1.1670 states/eV per atom
- VASP energy: -2.84 eV/atom
- Calculated volume: 284.78 Å³/cell
- Energy of formation: 0.01 eV/atom


A plane-wave DFT calculation with PBE was carried out for a geometry-optimized Pm9SmMg2 structure.

Cell and atoms, written as extended XYZ:
```
12
Lattice="5.051 0.000 0.000 0.000 5.051 0.000 0.000 0.000 15.222" Properties=species:S:1:pos:R:3 pbc="T T T"
Pm 0.000 0.000 0.000
Pm 0.000 0.000 5.127
Pm 0.000 0.000 10.095
Pm 0.000 2.526 2.603
Pm 0.000 2.526 7.611
Pm 0.000 2.526 12.618
Pm 2.526 0.000 2.603
Pm 2.526 0.000 7.611
Pm 2.526 0.000 12.618
Sm 2.526 2.526 0.000
Mg 2.526 2.526 5.136
Mg 2.526 2.526 10.086
```

Computed properties:
- Fermi-level density of states: 1.5505 states/eV per atom
- VASP energy: -4.21 eV/atom
- Calculated volume: 388.40 Å³/cell
- Energy of formation: 0.01 eV/atom


A plane-wave DFT calculation with PBE was carried out for a geometry-optimized Pm4Sm3Mg structure.

Cell and atoms, written as extended XYZ:
```
8
Lattice="4.182 0.000 0.000 0.000 4.182 0.000 0.000 0.000 15.018" Properties=species:S:1:pos:R:3 pbc="T T T"
Pm 0.000 0.000 1.765
Pm 0.000 0.000 5.665
Pm 0.000 0.000 9.354
Pm 0.000 0.000 13.254
Sm 2.091 2.091 3.813
Sm 2.091 2.091 7.509
Sm 2.091 2.091 11.206
Mg 2.091 2.091 0.000
```

Computed properties:
- Fermi-level density of states: 1.7762 states/eV per atom
- VASP energy: -4.26 eV/atom
- Calculated volume: 262.69 Å³/cell
- Energy of formation: 0.08 eV/atom


A plane-wave DFT calculation with PBE was carried out for a geometry-optimized Pm8SmMg2 structure.

Cell and atoms, written as extended XYZ:
```
11
Lattice="8.627 -2.670 0.000 8.627 2.670 0.000 -3.285 0.000 7.776" Properties=species:S:1:pos:R:3 pbc="T T T"
Pm 0.123 0.000 1.826
Pm 0.221 0.000 5.461
Pm 3.609 0.000 4.288
Pm 6.816 0.000 0.262
Pm 7.152 0.000 7.514
Pm 10.359 0.000 3.488
Pm 13.747 0.000 2.315
Pm 13.846 0.000 5.950
Sm 6.984 0.000 3.888
Mg 3.458 0.000 1.012
Mg 10.510 0.000 6.764
```

Computed properties:
- Fermi-level density of states: 1.3892 states/eV per atom
- VASP energy: -4.16 eV/atom
- Calculated volume: 358.18 Å³/cell
- Energy of formation: 0.01 eV/atom


A plane-wave DFT calculation with PBE was carried out for a geometry-optimized Pm6Sm4Mg structure.

Cell and atoms, written as extended XYZ:
```
11
Lattice="-3.303 3.303 8.610 3.303 -3.303 8.610 3.303 3.303 -8.610" Properties=species:S:1:pos:R:3 pbc="T T T"
Pm 3.303 0.000 0.000
Pm 2.172 2.172 -2.193
Pm 1.131 -1.131 10.802
Pm 0.000 3.303 0.000
Pm 1.131 1.131 6.417
Pm -1.131 1.131 10.802
Sm 2.091 -2.091 5.587
Sm 1.212 1.212 3.022
Sm -2.091 2.091 5.587
Sm 2.091 2.091 11.632
Mg 0.000 0.000 0.000
```

Computed properties:
- Fermi-level density of states: 1.3361 states/eV per atom
- VASP energy: -4.19 eV/atom
- Calculated volume: 375.71 Å³/cell
- Energy of formation: 0.26 eV/atom


A plane-wave DFT calculation with PBE was carried out for a geometry-optimized Pm5Sm4Mg structure.

Cell and atoms, written as extended XYZ:
```
10
Lattice="3.658 0.000 0.000 0.000 3.658 0.000 0.000 0.000 24.752" Properties=species:S:1:pos:R:3 pbc="T T T"
Pm 0.000 0.000 0.000
Pm 0.000 0.000 5.117
Pm 0.000 0.000 10.195
Pm 0.000 0.000 14.557
Pm 0.000 0.000 19.635
Sm 1.829 1.829 2.559
Sm 1.829 1.829 7.682
Sm 1.829 1.829 17.070
Sm 1.829 1.829 22.193
Mg 1.829 1.829 12.376
```

Computed properties:
- Fermi-level density of states: 1.1419 states/eV per atom
- VASP energy: -4.43 eV/atom
- Calculated volume: 331.29 Å³/cell
- Energy of formation: -0.01 eV/atom


A plane-wave DFT calculation with PBE was carried out for a geometry-optimized Pm2SmMg9 structure.

Cell and atoms, written as extended XYZ:
```
12
Lattice="3.035 1.752 9.868 -3.035 1.752 9.868 0.000 -3.505 9.868" Properties=species:S:1:pos:R:3 pbc="T T T"
Pm 0.000 0.000 4.218
Pm 0.000 0.000 25.385
Sm 0.000 0.000 0.000
Mg -1.533 -0.885 12.337
Mg 0.000 0.000 9.887
Mg 0.000 -1.771 17.265
Mg -1.533 0.885 17.265
Mg 0.000 0.000 14.801
Mg 1.533 -0.885 12.337
Mg 0.000 1.771 12.337
Mg 0.000 0.000 19.716
Mg 1.533 0.885 17.265
```

Computed properties:
- Fermi-level density of states: 0.9919 states/eV per atom
- VASP energy: -2.44 eV/atom
- Calculated volume: 314.92 Å³/cell
- Energy of formation: -0.06 eV/atom


A plane-wave DFT calculation with PBE was carried out for a geometry-optimized PmSm4Mg3 structure.

Cell and atoms, written as extended XYZ:
```
8
Lattice="3.815 0.000 0.000 0.000 5.579 0.000 0.000 0.000 11.270" Properties=species:S:1:pos:R:3 pbc="T T T"
Pm 0.000 0.000 0.000
Sm 1.908 0.000 2.976
Sm 1.908 0.000 8.294
Sm 1.908 2.790 0.000
Sm 1.908 2.790 5.635
Mg 0.000 0.000 5.635
Mg 0.000 2.790 2.835
Mg 0.000 2.790 8.435
```

Computed properties:
- Fermi-level density of states: 1.2446 states/eV per atom
- VASP energy: -3.58 eV/atom
- Calculated volume: 239.88 Å³/cell
- Energy of formation: -0.03 eV/atom


A plane-wave DFT calculation with PBE was carried out for a geometry-optimized Pm4Sm8Mg structure.

Cell and atoms, written as extended XYZ:
```
13
Lattice="3.647 2.106 9.704 -3.647 2.106 9.704 0.000 -4.211 9.704" Properties=species:S:1:pos:R:3 pbc="T T T"
Pm 0.000 0.000 0.000
Pm -1.823 -1.053 9.704
Pm -1.823 1.053 19.409
Pm 0.000 2.106 9.704
Sm 0.000 0.000 6.220
Sm -1.938 -1.119 16.572
Sm 0.000 -2.238 12.541
Sm -1.938 1.119 12.541
Sm 1.938 -1.119 16.572
Sm 0.000 2.238 16.572
Sm 1.938 1.119 12.541
Sm 0.000 0.000 22.893
Mg 0.000 0.000 14.557
```

Computed properties:
- Fermi-level density of states: 1.4120 states/eV per atom
- VASP energy: -4.32 eV/atom
- Calculated volume: 447.10 Å³/cell
- Energy of formation: 0.17 eV/atom


A plane-wave DFT calculation with PBE was carried out for a geometry-optimized Pm4Sm3Mg structure.

Cell and atoms, written as extended XYZ:
```
16
Lattice="5.097 0.000 0.000 0.000 10.173 0.000 0.000 0.000 10.098" Properties=species:S:1:pos:R:3 pbc="T T T"
Pm 1.274 0.022 1.318
Pm 1.274 2.543 8.809
Pm 1.274 5.064 1.318
Pm 1.274 7.629 8.813
Pm 3.823 2.543 1.286
Pm 3.823 5.108 8.780
Pm 3.823 7.629 1.290
Pm 3.823 10.150 8.780
Sm 1.274 0.038 6.253
Sm 1.274 5.049 6.253
Sm 1.274 7.629 3.809
Sm 3.823 2.543 6.290
Sm 3.823 5.124 3.845
Sm 3.823 10.135 3.845
Mg 1.274 2.543 3.807
Mg 3.823 7.629 6.292
```

Computed properties:
- Fermi-level density of states: 1.4561 states/eV per atom
- VASP energy: -4.33 eV/atom
- Calculated volume: 523.61 Å³/cell
- Energy of formation: 0.02 eV/atom


A plane-wave DFT calculation with PBE was carried out for a geometry-optimized Pm6Sm12Mg structure.

Cell and atoms, written as extended XYZ:
```
19
Lattice="6.059 3.498 5.088 -6.059 3.498 5.088 0.000 -6.996 5.088" Properties=species:S:1:pos:R:3 pbc="T T T"
Pm -3.381 -0.790 7.948
Pm -1.006 -3.323 7.317
Pm -2.375 2.533 7.317
Pm 2.375 -2.533 7.948
Pm 1.006 3.323 7.948
Pm 3.381 0.790 7.317
Sm -5.435 1.430 6.370
Sm -3.956 -3.992 8.895
Sm -2.096 -0.035 4.769
Sm 1.479 -5.422 6.370
Sm 1.078 -1.797 4.769
Sm 1.017 1.832 4.769
Sm -1.017 -1.832 10.496
Sm -1.078 1.797 10.496
Sm -1.479 5.422 8.895
Sm 2.096 0.035 10.496
Sm 3.956 3.992 6.370
Sm 5.435 -1.430 8.895
Mg 0.000 0.000 7.633
```

Computed properties:
- Fermi-level density of states: 1.5925 states/eV per atom
- VASP energy: -4.45 eV/atom
- Calculated volume: 647.09 Å³/cell
- Energy of formation: 0.12 eV/atom


A plane-wave DFT calculation with PBE was carried out for a geometry-optimized Pm2Sm3Mg structure.

Cell and atoms, written as extended XYZ:
```
6
Lattice="2.508 -7.670 0.000 2.508 7.670 0.000 0.000 0.000 5.047" Properties=species:S:1:pos:R:3 pbc="T T T"
Pm 2.508 5.142 0.000
Pm 2.508 -5.142 0.000
Sm 0.000 0.000 2.524
Sm 2.508 2.576 2.524
Sm 2.508 -2.576 2.524
Mg 2.508 0.000 0.000
```

Computed properties:
- Fermi-level density of states: 1.3028 states/eV per atom
- VASP energy: -4.20 eV/atom
- Calculated volume: 194.18 Å³/cell
- Energy of formation: 0.01 eV/atom


A plane-wave DFT calculation with PBE was carried out for a geometry-optimized Pm5SmMg2 structure.

Cell and atoms, written as extended XYZ:
```
8
Lattice="-1.786 5.529 6.476 1.786 -5.529 6.476 1.786 5.529 -6.476" Properties=species:S:1:pos:R:3 pbc="T T T"
Pm 0.000 0.000 0.000
Pm 1.786 2.490 -1.737
Pm 1.786 2.490 1.737
Pm 0.000 3.039 4.739
Pm 0.000 3.039 8.213
Sm 0.000 5.529 0.000
Mg 0.000 0.000 3.411
Mg 0.000 0.000 9.541
```

Computed properties:
- Fermi-level density of states: 1.1350 states/eV per atom
- VASP energy: -3.93 eV/atom
- Calculated volume: 255.83 Å³/cell
- Energy of formation: 0.03 eV/atom


A plane-wave DFT calculation with PBE was carried out for a geometry-optimized Pm7SmMg4 structure.

Cell and atoms, written as extended XYZ:
```
12
Lattice="7.694 -2.925 0.000 7.694 2.925 0.000 -5.121 0.000 8.394" Properties=species:S:1:pos:R:3 pbc="T T T"
Pm 0.000 0.000 0.000
Pm 0.161 0.000 5.968
Pm 4.010 0.000 1.029
Pm 3.505 0.000 4.818
Pm 6.762 0.000 3.576
Pm 6.257 0.000 7.365
Pm 10.106 0.000 2.426
Sm 7.694 0.000 0.000
Mg -2.958 0.000 5.832
Mg 0.923 0.000 2.899
Mg 9.344 0.000 5.495
Mg 13.225 0.000 2.562
```

Computed properties:
- Fermi-level density of states: 1.2132 states/eV per atom
- VASP energy: -3.57 eV/atom
- Calculated volume: 377.78 Å³/cell
- Energy of formation: 0.13 eV/atom